# 1
PmAs6Pd12 | PBE | optimized geometry

Unit cell a=11.5529 b=11.5529 c=8.7625 alpha=90.00 beta=90.00 gamma=120.00
Space group R-3m (No. 166, hexagonal axes)
One atom of each set of equivalent atoms:
Pm: 0.0000 0.0000 0.0000 x3
As: 0.0491 0.5246 0.2733 x18
Pd: 0.0000 0.3755 0.5000 x18
Pd: 0.0837 0.1673 0.3219 x18

Results
V in Å³/atom: 17.77
Raw total energy in eV/cell: -305.99
Formation enthalpy at 0 K in meV/atom: -370

***

# 2
RuCl3 | PBE | optimized geometry

Unit cell a=4.3520 b=4.3520 c=4.3520 alpha=90.00 beta=90.00 gamma=90.00
Space group Pm-3m (No. 221)
One atom of each set of equivalent atoms:
Ru: 0.0000 0.0000 0.0000 x1
Cl: 0.0000 0.5000 0.5000 x3

Results
V in Å³/atom: 20.61
Raw total energy in eV/cell: -11.29

***

# 3
Tm2ThAu | PBE | optimized geometry

Unit cell a=3.5856 b=3.5856 c=8.2597 alpha=90.00 beta=90.00 gamma=90.00
Space group P4/mmm (No. 123)
One atom of each set of equivalent atoms:
Tm: 0.0000 0.0000 0.2077 x2
Th: 0.5000 0.5000 0.5000 x1
Au: 0.5000 0.5000 0.0000 x1

Results
Offset from the most stable computed form in meV/atom: 0
V in Å³/atom: 26.55
Raw total energy in eV/cell: -21.35
Formation enthalpy at 0 K in meV/atom: -428